No. 1
MgSIN2: relaxed, PBE.

## Properties
- Energy above the most stable polymorph in this dataset: 46.4 meV/atom
- Crystal system: tetragonal
- Symmetry: P4/mmm
- Uncorrected formation energy: 1346 meV per atom

Unit cell a=3.7490 b=3.7490 c=6.6627 alpha=90.00 beta=90.00 gamma=90.00
Element x y z (fractional)
Mg  0.0000  0.0000  0.0000
S  0.5000  0.5000  0.5000
I  0.5000  0.5000  0.0000
N  0.0000  0.5000  0.5000
N  0.5000  0.0000  0.5000

No. 2
MgSIN2: relaxed, PBE.

## Properties
- Energy above the most stable polymorph in this dataset: 0.0 meV/atom
- Crystal system: tetragonal
- Symmetry: P4/mmm
- Uncorrected formation energy: 1300 meV per atom

Unit cell a=3.9472 b=3.9472 c=5.7651 alpha=90.00 beta=90.00 gamma=90.00
Element x y z (fractional)
Mg  0.0000  0.0000  0.0000
S  0.5000  0.5000  0.0000
I  0.5000  0.5000  0.5000
N  0.0000  0.5000  0.5000
N  0.5000  0.0000  0.5000

No. 3
MgSIN2: relaxed, PBE.

## Properties
- Energy above the most stable polymorph in this dataset: 8.9 meV/atom
- Crystal system: tetragonal
- Symmetry: P4/mmm
- Uncorrected formation energy: 1309 meV per atom

Unit cell a=4.1892 b=4.1892 c=5.6621 alpha=90.00 beta=90.00 gamma=90.00
Element x y z (fractional)
Mg  0.0000  0.0000  0.0000
S  0.0000  0.0000  0.5000
I  0.5000  0.5000  0.5000
N  0.0000  0.5000  0.0000
N  0.5000  0.0000  0.0000

No. 4
MgSbI2N: relaxed, PBE.

## Properties
- Energy above the most stable polymorph in this dataset: 528.3 meV/atom
- Crystal system: tetragonal
- Symmetry: P4/mmm
- Uncorrected formation energy: 994 meV per atom

Unit cell a=5.7598 b=5.7598 c=5.6411 alpha=90.00 beta=90.00 gamma=90.00
Element x y z (fractional)
Mg  0.0000  0.0000  0.0000
Sb  0.0000  0.0000  0.5000
I  0.0000  0.5000  0.0000
I  0.5000  0.0000  0.0000
N  0.5000  0.5000  0.5000

No. 5
MgSbI2N: relaxed, PBE.

## Properties
- Energy above the most stable polymorph in this dataset: 105.4 meV/atom
- Crystal system: tetragonal
- Symmetry: P4/mmm
- Uncorrected formation energy: 571 meV per atom

Unit cell a=5.8169 b=5.8169 c=3.9377 alpha=90.00 beta=90.00 gamma=90.00
Element x y z (fractional)
Mg  0.0000  0.0000  0.0000
Sb  0.5000  0.5000  0.5000
I  0.0000  0.5000  0.0000
I  0.5000  0.0000  0.0000
N  0.0000  0.0000  0.5000

No. 6
MgSbIN2: relaxed, PBE.

## Properties
- Energy above the most stable polymorph in this dataset: 0.0 meV/atom
- Crystal system: tetragonal
- Symmetry: P4/mmm
- Uncorrected formation energy: 1008 meV per atom

Unit cell a=4.1087 b=4.1087 c=6.7264 alpha=90.00 beta=90.00 gamma=90.00
Element x y z (fractional)
Mg  0.0000  0.0000  0.0000
Sb  0.5000  0.5000  0.5000
I  0.5000  0.5000  0.0000
N  0.0000  0.5000  0.5000
N  0.5000  0.0000  0.5000

No. 7
MgSbI2N: relaxed, PBE.

## Properties
- Energy above the most stable polymorph in this dataset: 0.0 meV/atom
- Crystal system: tetragonal
- Symmetry: P4/mmm
- Uncorrected formation energy: 466 meV per atom

Unit cell a=6.2679 b=6.2679 c=4.0128 alpha=90.00 beta=90.00 gamma=90.00
Element x y z (fractional)
Mg  0.0000  0.0000  0.0000
Sb  0.5000  0.5000  0.5000
I  0.0000  0.5000  0.5000
I  0.5000  0.0000  0.5000
N  0.5000  0.5000  0.0000

No. 8
MgSbIN2: relaxed, PBE.

## Properties
- Energy above the most stable polymorph in this dataset: 300.4 meV/atom
- Crystal system: tetragonal
- Symmetry: P4/mmm
- Uncorrected formation energy: 1309 meV per atom

Unit cell a=4.4084 b=4.4084 c=5.6910 alpha=90.00 beta=90.00 gamma=90.00
Element x y z (fractional)
Mg  0.0000  0.0000  0.0000
Sb  0.5000  0.5000  0.5000
I  0.0000  0.0000  0.5000
N  0.0000  0.5000  0.0000
N  0.5000  0.0000  0.0000

No. 9
MgSbI2N: relaxed, PBE.

## Properties
- Energy above the most stable polymorph in this dataset: 236.6 meV/atom
- Crystal system: tetragonal
- Symmetry: P4/mmm
- Uncorrected formation energy: 702 meV per atom

Unit cell a=4.9294 b=4.9294 c=5.0135 alpha=90.00 beta=90.00 gamma=90.00
Element x y z (fractional)
Mg  0.0000  0.0000  0.0000
Sb  0.5000  0.5000  0.0000
I  0.0000  0.5000  0.5000
I  0.5000  0.0000  0.5000
N  0.5000  0.5000  0.5000

No. 10
MgScI2N: relaxed, PBE.

## Properties
- Energy above the most stable polymorph in this dataset: 457.0 meV/atom
- Crystal system: tetragonal
- Symmetry: P4/mmm
- Uncorrected formation energy: 199 meV per atom

Unit cell a=5.6714 b=5.6714 c=3.8942 alpha=90.00 beta=90.00 gamma=90.00
Element x y z (fractional)
Mg  0.0000  0.0000  0.0000
Sc  0.5000  0.5000  0.5000
I  0.0000  0.5000  0.0000
I  0.5000  0.0000  0.0000
N  0.0000  0.0000  0.5000

No. 11
MgScI2N: relaxed, PBE.

## Properties
- Energy above the most stable polymorph in this dataset: 0.0 meV/atom
- Crystal system: tetragonal
- Symmetry: P4/mmm
- Uncorrected formation energy: -258 meV per atom

Unit cell a=5.9454 b=5.9454 c=3.9186 alpha=90.00 beta=90.00 gamma=90.00
Element x y z (fractional)
Mg  0.0000  0.0000  0.0000
Sc  0.5000  0.5000  0.5000
I  0.0000  0.5000  0.5000
I  0.5000  0.0000  0.5000
N  0.5000  0.5000  0.0000

No. 12
MgSe2IN: relaxed, PBE.

## Properties
- Energy above the most stable polymorph in this dataset: 180.0 meV/atom
- Crystal system: tetragonal
- Symmetry: P4/mmm
- Uncorrected formation energy: 869 meV per atom

Unit cell a=5.5010 b=5.5010 c=3.9574 alpha=90.00 beta=90.00 gamma=90.00
Element x y z (fractional)
Mg  0.0000  0.0000  0.0000
Se  0.0000  0.5000  0.5000
Se  0.5000  0.0000  0.5000
I  0.5000  0.5000  0.5000
N  0.5000  0.5000  0.0000

| no. | N(E_F) (states/eV per atom) |
| --- | --- |
| 1 | 0.596 |
| 2 | 0.398 |
| 3 | 0.329 |
| 4 | 0.778 |
| 5 | 1.645 |
| 6 | 0.662 |
| 7 | 0.559 |
| 8 | 0.308 |
| 9 | 0.615 |
| 10 | 1.011 |
| 11 | 0.536 |
| 12 | 0.638 |